Record 1
{
  "formula": "Rb2As2Au",
  "functional": "PBE",
  "state": "optimized geometry",
  "ef_ev_per_atom": 0.00,
  "sg": "No. 139",
  "dos_ef_per_ev_cell": 3.32,
  "lattice_angstrom": [[6.643, 0.000, 0.000], [0.000, 6.643, 0.000], [3.321, 3.321, 4.638]],
  "species": ["Rb", "Rb", "As", "As", "Au"],
  "fractional_positions": [[0.250, 0.750, 0.500], [0.750, 0.250, 0.500], [0.380, 0.380, 0.239], [0.620, 0.620, 0.761], [0.000, 0.000, 0.000]]
}

***

Record 2
{
  "formula": "RbAs3Au",
  "functional": "PBE",
  "state": "optimized geometry",
  "ef_ev_per_atom": 1.95,
  "e_above_lowest_polymorph_ev_per_atom": 1.5463,
  "sg": "No. 221",
  "dos_ef_per_ev_cell": 6.94,
  "lattice_angstrom": [[-3.226, 4.251, -1.805], [1.387, -1.209, -5.325], [-4.406, -3.494, -0.354]],
  "species": ["As", "As", "As", "Rb", "Au"],
  "fractional_positions": [[0.500, 0.000, 0.000], [0.000, 0.000, 0.500], [0.000, 0.500, 0.000], [0.000, 0.000, 0.000], [0.500, 0.500, 0.500]]
}